[1]
9
Lattice="4.5121 0.0000 0.0000 0.0000 4.5121 0.0000 0.0000 0.0000 9.0693" Properties=species:S:1:pos:R:3 comment="CaSmGa2Au5, relaxed, DFT PBE" spacegroup="P4/mmm (123)" e_form_mev_per_atom=-560 n_ef_per_ev_cell=3.438 magnetic_moment_mub_per_cell=0.0 pbc="T T T"
Ga 2.2560 2.2560 1.2198
Ga 2.2560 2.2560 7.8496
Au 0.0000 2.2560 6.6010
Au 2.2560 0.0000 2.4684
Au 0.0000 2.2560 2.4684
Au 2.2560 0.0000 6.6010
Au 2.2560 2.2560 4.5347
Ca 0.0000 0.0000 4.5347
Sm 0.0000 0.0000 0.0000

=====

[2]
12
Lattice="-1.9225 2.7969 -5.1362 -4.0861 -2.5802 3.8139 -0.6768 7.4140 4.2906" Properties=species:S:1:pos:R:3 comment="Ca3Ga2SnAu6, relaxed, DFT PBE" spacegroup="P-3m1 (164)" e_form_mev_per_atom=-457 n_ef_per_ev_cell=5.063 magnetic_moment_mub_per_cell=0.0 pbc="T T T"
Au -1.9904 1.5630 1.5962
Au -4.6950 6.0678 1.3721
Au -1.9168 5.9676 1.9835
Au -3.8797 0.3700 3.3596
Au -4.7686 1.6632 0.9848
Au -2.8057 7.2608 -0.3913
Ca -2.8958 3.7665 -0.5545
Ca -3.7896 3.8643 3.5228
Ca 0.0000 0.0000 0.0000
Ga -3.3141 8.3485 2.0972
Ga -3.3713 -0.7177 0.8711
Sn -0.3384 3.7070 2.1453

=====

[3]
11
Lattice="-1.0304 3.2516 -3.1850 -2.6356 -0.4360 3.8265 8.0081 8.9383 6.5344" Properties=species:S:1:pos:R:3 comment="Ca3Ga2Sn2Au4, relaxed, DFT PBE" spacegroup="P-3m1 (164)" e_form_mev_per_atom=-601 n_ef_per_ev_cell=4.318 magnetic_moment_mub_per_cell=0.0 pbc="T T T"
Ga -0.9319 2.0976 2.4430
Ga 5.2739 9.6562 4.7329
Ca 5.9172 6.6045 4.8282
Ca 0.0000 0.0000 0.0000
Ca 2.0909 2.3338 1.7061
Sn 1.8643 5.8506 1.9508
Sn 2.4777 5.9032 5.2251
Au 4.8948 8.6011 7.1973
Au -0.5527 3.1528 -0.0214
Au 3.5523 7.7346 3.3281
Au 0.7898 4.0192 3.8478

=====

[4]
9
Lattice="4.9508 0.0000 0.0000 0.0000 4.9508 0.0000 0.0000 0.0000 8.8692" Properties=species:S:1:pos:R:3 comment="CaGa2SnAu5, relaxed, DFT PBE" spacegroup="P4/mmm (123)" e_form_mev_per_atom=-179 n_ef_per_ev_cell=3.434 magnetic_moment_mub_per_cell=0.0 pbc="T T T"
Au 2.4754 2.4754 4.4346
Au 0.0000 2.4754 7.2715
Au 0.0000 2.4754 1.5977
Au 2.4754 0.0000 1.5977
Au 2.4754 0.0000 7.2715
Ca 0.0000 0.0000 4.4346
Ga 2.4754 2.4754 6.9069
Ga 2.4754 2.4754 1.9623
Sn 0.0000 0.0000 0.0000